(1)
# PBE Cd3SbRh4, relaxed
data_Cd3SbRh4
_cell_length_a 4.5567
_cell_length_b 4.5567
_cell_length_c 6.4849
_cell_angle_alpha 90.00
_cell_angle_beta 90.00
_cell_angle_gamma 90.00
_space_group_name_H-M_alt 'P 4/m m m'
_space_group_IT_number 123
_space_group_name_Hall '-P 4 2'
loop_
_atom_site_label
_atom_site_type_symbol
_atom_site_fract_x
_atom_site_fract_y
_atom_site_fract_z
Cd1 Cd 0.0000 0.0000 0.0000
Cd2 Cd 0.0000 0.0000 0.5000
Cd3 Cd 0.5000 0.5000 0.0000
Sb1 Sb 0.5000 0.5000 0.5000
Rh1 Rh 0.0000 0.5000 0.2634
# Energy relative to the elements, uncorrected (eV/f.u.): -1.92
# Theoretical density (g cm⁻³): 10.74
# Electronic total energy (eV/atom): -4.774

(2)
# PBE Cd2SbRh, relaxed
data_Cd2SbRh
_cell_length_a 3.3459
_cell_length_b 3.3459
_cell_length_c 27.5303
_cell_angle_alpha 90.00
_cell_angle_beta 90.00
_cell_angle_gamma 120.00
_space_group_name_H-M_alt 'R 3 m'
_space_group_IT_number 160
_space_group_name_Hall 'R 3 -2"'
loop_
_atom_site_label
_atom_site_type_symbol
_atom_site_fract_x
_atom_site_fract_y
_atom_site_fract_z
Cd1 Cd 0.0000 0.0000 0.0000
Cd2 Cd 0.0000 0.0000 0.2387
Sb1 Sb 0.0000 0.0000 0.7669
Rh1 Rh 0.0000 0.0000 0.4964
# Energy relative to the elements, uncorrected (eV/f.u.): -0.34
# Theoretical density (g cm⁻³): 8.39
# Electronic total energy (eV/atom): -3.411

(3)
# PBE Cd2SbRh, relaxed
data_Cd2SbRh
_cell_length_a 4.3306
_cell_length_b 4.3306
_cell_length_c 8.5173
_cell_angle_alpha 90.00
_cell_angle_beta 90.00
_cell_angle_gamma 90.00
_space_group_name_H-M_alt 'I -4 m 2'
_space_group_IT_number 119
_space_group_name_Hall 'I -4 -2'
loop_
_atom_site_label
_atom_site_type_symbol
_atom_site_fract_x
_atom_site_fract_y
_atom_site_fract_z
Cd1 Cd 0.0000 0.0000 0.0000
Cd2 Cd 0.0000 0.5000 0.2500
Sb1 Sb 0.0000 0.0000 0.5000
Rh1 Rh 0.0000 0.5000 0.7500
# Energy relative to the elements, uncorrected (eV/f.u.): 0.06
# Theoretical density (g cm⁻³): 9.35
# Electronic total energy (eV/atom): -3.310